# 1
SrCaDyTl | PBE-GGA | optimized geometry

a b c (Å): 8.135 8.135 8.135
angles (deg): 90.00 90.00 90.00
Space group F-43m (No. 216)
Inequivalent atoms, fractional coordinates:
Sr1 0.000 0.000 0.000 (multiplicity 4)
Ca1 0.250 0.250 0.250 (multiplicity 4)
Dy1 0.000 0.000 0.500 (multiplicity 4)
Tl1 0.250 0.250 0.750 (multiplicity 4)

## Properties
E (eV per formula unit): -10.83
E_form (eV per atom): -0.045

=====

# 2
LaPr4Y10 | PBE-GGA | optimized geometry

a b c (Å): 9.984 9.984 10.836
angles (deg): 90.00 90.00 90.00
Space group I4/m (No. 87)
Inequivalent atoms, fractional coordinates:
La1 0.000 0.000 0.000 (multiplicity 2)
Pr1 0.047 0.279 0.500 (multiplicity 8)
Y1 0.000 0.500 0.250 (multiplicity 4)
Y2 0.125 0.214 0.170 (multiplicity 16)

## Properties
E (eV per formula unit): -82.02
E_form (eV per atom): 0.445

=====

# 3
LiSiN2F | PBE-GGA | optimized geometry

a b c (Å): 3.699 3.699 3.380
angles (deg): 90.00 90.00 90.00
Space group P4/mmm (No. 123)
Inequivalent atoms, fractional coordinates:
Li1 0.000 0.000 0.000 (multiplicity 1)
Si1 0.500 0.500 0.500 (multiplicity 1)
N1 0.000 0.500 0.000 (multiplicity 2)
F1 0.000 0.000 0.500 (multiplicity 1)

## Properties
E (eV per formula unit): -21.27
Relative energy among the computed polymorphs (meV per atom): 1610
Formation energy from raw total energies (eV/f.u.): 4.59

=====

# 4
Sc2ReRu | PBE-GGA | optimized geometry

a b c (Å): 3.817 3.817 9.441
angles (deg): 90.00 90.00 90.00
Space group I-4m2 (No. 119)
Inequivalent atoms, fractional coordinates:
Sc1 0.000 0.000 0.000 (multiplicity 2)
Sc2 0.000 0.500 0.250 (multiplicity 2)
Re1 0.000 0.500 0.750 (multiplicity 2)
Ru1 0.000 0.000 0.500 (multiplicity 2)

## Properties
E (eV per formula unit): -34.46
E_form (eV per atom): -0.017

=====

# 5
USbHPd | PBE-GGA | optimized geometry

a b c (Å): 7.785 4.506 4.050
angles (deg): 90.00 90.09 90.00
Space group Cm (No. 8)
Inequivalent atoms, fractional coordinates:
U1 0.000 0.000 0.000 (multiplicity 2)
Sb1 0.166 0.500 0.534 (multiplicity 2)
H1 0.334 0.000 0.981 (multiplicity 2)
Pd1 0.333 0.000 0.418 (multiplicity 2)

## Properties
E (eV per formula unit): -25.41

=====

# 6
CsSrN2F | PBE-GGA | optimized geometry

a b c (Å): 4.436 4.436 5.105
angles (deg): 90.00 90.00 90.00
Space group P4/mmm (No. 123)
Inequivalent atoms, fractional coordinates:
Cs1 0.000 0.000 0.000 (multiplicity 1)
Sr1 0.500 0.500 0.500 (multiplicity 1)
N1 0.000 0.500 0.000 (multiplicity 2)
F1 0.000 0.000 0.500 (multiplicity 1)

## Properties
E (eV per formula unit): -18.48
Relative energy among the computed polymorphs (meV per atom): 684
Formation energy from raw total energies (eV/f.u.): 2.57

=====

> The highest E belongs to which entry?

SrCaDyTl